No. 1
! TlSb2Rh PBE-GGA relaxed; values from VASP
! DFT total energy (eV per cell): -16.89
! Uncorrected formation energy (eV per atom): 0.267
! SG: No. 65
! D(E_F) (states/eV/f.u.): 2.03
&SYSTEM
  ibrav = 0, nat = 4, ntyp = 3
/
ATOMIC_SPECIES
Rh 102.91 Rh.upf
Sb 121.76 Sb.upf
Tl 204.38 Tl.upf
CELL_PARAMETERS angstrom
0.862 4.999 -0.391
-4.013 -0.556 3.077
2.292 -0.164 2.959
ATOMIC_POSITIONS crystal
Rh 0.500 0.500 0.500
Sb 0.000 0.500 0.000
Tl 0.000 0.000 0.500
Sb 0.500 0.000 0.000

No. 2
! BaMg2Tl PBE-GGA relaxed; values from VASP
! DFT total energy (eV per cell): -7.71
! SG: No. 12
! D(E_F) (states/eV/f.u.): 2.05
&SYSTEM
  ibrav = 0, nat = 4, ntyp = 3
/
ATOMIC_SPECIES
Tl 204.38 Tl.upf
Ba 137.33 Ba.upf
Mg 24.30 Mg.upf
CELL_PARAMETERS angstrom
5.912 0.163 -0.022
4.456 3.889 -0.022
1.795 0.701 5.956
ATOMIC_POSITIONS crystal
Tl 0.750 0.750 0.750
Ba 0.250 0.250 0.250
Mg 0.029 0.029 0.927
Mg 0.471 0.471 0.573

No. 3
! Li3La PBE-GGA relaxed; values from VASP
! DFT total energy (eV per cell): -10.10
! SG: No. 25
! D(E_F) (states/eV/f.u.): 2.80
&SYSTEM
  ibrav = 0, nat = 4, ntyp = 2
/
ATOMIC_SPECIES
Li 6.94 Li.upf
La 138.91 La.upf
CELL_PARAMETERS angstrom
3.246 0.000 0.000
0.000 5.399 0.000
0.000 0.000 5.814
ATOMIC_POSITIONS crystal
Li 0.500 0.500 0.819
Li 0.000 0.000 0.976
Li 0.500 0.000 0.549
La 0.000 0.500 0.323

No. 4
! Y2RuPb PBE-GGA relaxed; values from VASP
! DFT total energy (eV per cell): -26.08
! SG: No. 25
! D(E_F) (states/eV/f.u.): 3.21
&SYSTEM
  ibrav = 0, nat = 4, ntyp = 3
/
ATOMIC_SPECIES
Pb 207.20 Pb.upf
Y 88.91 Y.upf
Ru 101.07 Ru.upf
CELL_PARAMETERS angstrom
-0.911 -2.777 2.024
4.330 -0.185 1.696
-1.655 3.935 4.655
ATOMIC_POSITIONS crystal
Pb 0.000 0.000 0.461
Y 0.500 0.500 0.261
Y 0.000 0.000 0.937
Ru 0.500 0.500 0.842

Q: Look up the DFT total energy of the fourth one.
A: -26.08 eV per cell